# 1
{"formula": "MgSc5Ag", "functional": "PBE-GGA", "state": "relaxed", "formation_energy_ev_per_atom": 0.133, "mass_density_g_cm3": 3.563, "total_energy_ev_per_atom": -5.025, "vol_a3_per_atom": 23.8, "crystal_system": "monoclinic", "dos_at_fermi_per_ev_cell": 20.15, "lattice_angstrom": [[5.3492, -2.9225, 0.0000], [5.3492, 2.9225, 0.0000], [-5.2552, 0.0000, 10.6429]], "species": ["Mg", "Mg", "Sc", "Sc", "Sc", "Sc", "Sc", "Sc", "Sc", "Sc", "Sc", "Sc", "Ag", "Ag"], "fractional_positions": [[0.2027, 0.7973, 0.7500], [0.7973, 0.2027, 0.2500], [0.1695, 0.1729, 0.0169], [0.1729, 0.1695, 0.5169], [0.2150, 0.3048, 0.7977], [0.3048, 0.2150, 0.2977], [0.3135, 0.6865, 0.2500], [0.6865, 0.3135, 0.7500], [0.6952, 0.7850, 0.7023], [0.7850, 0.6952, 0.2023], [0.8271, 0.8305, 0.4831], [0.8305, 0.8271, 0.9831], [0.5000, 0.5000, 0.0000], [0.5000, 0.5000, 0.5000]]}

=====

# 2
{"formula": "Mg5ScAg6", "functional": "PBE-GGA", "state": "relaxed", "formation_energy_ev_per_atom": -0.235, "mass_density_g_cm3": 5.970, "total_energy_ev_per_atom": -2.853, "vol_a3_per_atom": 18.9, "crystal_system": "orthorhombic", "dos_at_fermi_per_ev_cell": 5.52, "lattice_angstrom": [[-2.3746, 3.3816, 7.0467], [2.3746, -3.3816, 7.0467], [2.3746, 3.3816, -7.0467]], "species": ["Mg", "Mg", "Mg", "Mg", "Mg", "Sc", "Ag", "Ag", "Ag", "Ag", "Ag", "Ag"], "fractional_positions": [[0.0000, 0.0000, 0.0000], [0.1667, 0.6667, 0.5000], [0.3358, 0.3358, 0.0000], [0.6642, 0.6642, 0.0000], [0.8333, 0.3333, 0.5000], [0.5000, 0.0000, 0.5000], [0.0776, 0.8318, 0.2458], [0.2464, 0.5000, 0.7464], [0.4141, 0.1682, 0.2458], [0.5859, 0.8318, 0.7542], [0.7536, 0.5000, 0.2536], [0.9224, 0.1682, 0.7542]]}

=====

# 3
{"formula": "MgScAg2", "functional": "PBE-GGA", "state": "relaxed", "formation_energy_ev_per_atom": -0.156, "mass_density_g_cm3": 6.118, "total_energy_ev_per_atom": -3.564, "vol_a3_per_atom": 19.3, "crystal_system": "tetragonal", "dos_at_fermi_per_ev_cell": 4.38, "lattice_angstrom": [[4.2947, 0.0000, 0.0000], [0.0000, 4.2947, 0.0000], [0.0000, 0.0000, 8.3881]], "species": ["Mg", "Mg", "Sc", "Sc", "Ag", "Ag", "Ag", "Ag"], "fractional_positions": [[0.0000, 0.0000, 0.0000], [0.5000, 0.5000, 0.5000], [0.0000, 0.5000, 0.7500], [0.5000, 0.0000, 0.2500], [0.0000, 0.0000, 0.5000], [0.0000, 0.5000, 0.2500], [0.5000, 0.0000, 0.7500], [0.5000, 0.5000, 0.0000]]}

=====

# 4
{"formula": "MgScAg", "functional": "PBE-GGA", "state": "relaxed", "formation_energy_ev_per_atom": -0.030, "mass_density_g_cm3": 4.598, "total_energy_ev_per_atom": -3.622, "vol_a3_per_atom": 21.3, "crystal_system": "trigonal", "dos_at_fermi_per_ev_cell": 2.87, "lattice_angstrom": [[3.1924, 0.0000, 0.0000], [-1.5962, 2.7647, 0.0000], [0.0000, 0.0000, 7.2474]], "species": ["Mg", "Sc", "Ag"], "fractional_positions": [[0.0000, 0.0000, 0.0000], [0.6667, 0.3333, 0.3645], [0.3333, 0.6667, 0.6877]]}

=====

# 5
{"formula": "MgScAg", "functional": "PBE-GGA", "state": "relaxed", "formation_energy_ev_per_atom": -0.118, "mass_density_g_cm3": 4.711, "total_energy_ev_per_atom": -3.710, "vol_a3_per_atom": 20.8, "crystal_system": "trigonal", "dos_at_fermi_per_ev_cell": 2.49, "lattice_angstrom": [[4.8057, 0.0000, 0.0000], [-2.4029, 4.1619, 0.0000], [0.0000, 0.0000, 3.1217]], "species": ["Mg", "Sc", "Ag"], "fractional_positions": [[0.0000, 0.0000, 0.0000], [0.6667, 0.3333, 0.4985], [0.3333, 0.6667, 0.9962]]}

=====

# 6
{"formula": "Mg6ScAg", "functional": "PBE-GGA", "state": "relaxed", "formation_energy_ev_per_atom": -0.049, "mass_density_g_cm3": 2.847, "total_energy_ev_per_atom": -2.393, "vol_a3_per_atom": 21.8, "crystal_system": "tetragonal", "dos_at_fermi_per_ev_cell": 5.39, "lattice_angstrom": [[4.4606, 0.0000, 0.0000], [0.0000, 4.4606, 0.0000], [0.0000, 0.0000, 8.7535]], "species": ["Mg", "Mg", "Mg", "Mg", "Mg", "Mg", "Sc", "Ag"], "fractional_positions": [[0.0000, 0.0000, 0.0000], [0.0000, 0.0000, 0.5000], [0.0000, 0.5000, 0.2381], [0.0000, 0.5000, 0.7619], [0.5000, 0.0000, 0.2381], [0.5000, 0.0000, 0.7619], [0.5000, 0.5000, 0.5000], [0.5000, 0.5000, 0.0000]]}

=====

# 7
{"formula": "Mg3Sc2Ag4", "functional": "PBE-GGA", "state": "relaxed", "formation_energy_ev_per_atom": -0.140, "polymorph_energy_mev_per_atom": 81.8, "mass_density_g_cm3": 5.327, "total_energy_ev_per_atom": -3.346, "vol_a3_per_atom": 20.6, "crystal_system": "orthorhombic", "dos_at_fermi_per_ev_cell": 12.97, "lattice_angstrom": [[2.9326, -8.3804, 0.0000], [2.9326, 8.3804, 0.0000], [0.0000, 0.0000, 7.5374]], "species": ["Mg", "Mg", "Mg", "Mg", "Mg", "Mg", "Sc", "Sc", "Sc", "Sc", "Ag", "Ag", "Ag", "Ag", "Ag", "Ag", "Ag", "Ag"], "fractional_positions": [[0.0000, 0.0000, 0.0000], [0.0123, 0.4877, 0.2500], [0.4877, 0.0123, 0.7500], [0.5000, 0.5000, 0.5000], [0.5123, 0.9877, 0.2500], [0.9877, 0.5123, 0.7500], [0.0925, 0.9075, 0.3934], [0.4075, 0.5925, 0.8934], [0.5925, 0.4075, 0.1066], [0.9075, 0.0925, 0.6066], [0.1625, 0.8375, 0.0299], [0.1806, 0.3194, 0.2500], [0.3194, 0.1806, 0.7500], [0.3375, 0.6625, 0.5299], [0.6625, 0.3375, 0.4701], [0.6806, 0.8194, 0.2500], [0.8194, 0.6806, 0.7500], [0.8375, 0.1625, 0.9701]]}

=====

# 8
{"formula": "MgScAg2", "functional": "PBE-GGA", "state": "relaxed", "formation_energy_ev_per_atom": -0.146, "mass_density_g_cm3": 5.983, "total_energy_ev_per_atom": -3.553, "vol_a3_per_atom": 19.8, "crystal_system": "orthorhombic", "dos_at_fermi_per_ev_cell": 5.90, "lattice_angstrom": [[3.4909, 0.0000, 0.0000], [0.0000, 4.7476, 0.0000], [0.0000, 0.0000, 9.5446]], "species": ["Mg", "Mg", "Sc", "Sc", "Ag", "Ag", "Ag", "Ag"], "fractional_positions": [[0.0000, 0.0000, 0.0000], [0.5000, 0.5000, 0.5000], [0.0000, 0.5000, 0.7735], [0.5000, 0.0000, 0.2735], [0.0000, 0.0000, 0.5241], [0.0000, 0.5000, 0.2640], [0.5000, 0.0000, 0.7640], [0.5000, 0.5000, 0.0241]]}

=====

# 9
{"formula": "Mg2Sc7Ag2", "functional": "PBE-GGA", "state": "relaxed", "formation_energy_ev_per_atom": 0.224, "mass_density_g_cm3": 3.467, "total_energy_ev_per_atom": -4.614, "vol_a3_per_atom": 25.2, "crystal_system": "orthorhombic", "dos_at_fermi_per_ev_cell": 15.61, "lattice_angstrom": [[3.6456, -5.3060, 0.0000], [3.6456, 5.3060, 0.0000], [0.0000, 0.0000, 7.1696]], "species": ["Mg", "Mg", "Sc", "Sc", "Sc", "Sc", "Sc", "Sc", "Sc", "Ag", "Ag"], "fractional_positions": [[0.1799, 0.1799, 0.0000], [0.8201, 0.8201, 0.0000], [0.0000, 0.0000, 0.5000], [0.0000, 0.5000, 0.2204], [0.0000, 0.5000, 0.7796], [0.5000, 0.0000, 0.2204], [0.5000, 0.0000, 0.7796], [0.5000, 0.5000, 0.2545], [0.5000, 0.5000, 0.7455], [0.2906, 0.7094, 0.5000], [0.7094, 0.2906, 0.5000]]}

=====

# 10
{"formula": "MgScAg", "functional": "PBE-GGA", "state": "relaxed", "formation_energy_ev_per_atom": -0.171, "mass_density_g_cm3": 4.695, "total_energy_ev_per_atom": -3.763, "vol_a3_per_atom": 20.9, "crystal_system": "tetragonal", "dos_at_fermi_per_ev_cell": 5.31, "lattice_angstrom": [[3.2706, 0.0000, 0.0000], [0.0000, 3.2706, 0.0000], [0.0000, 0.0000, 11.7128]], "species": ["Mg", "Mg", "Sc", "Sc", "Ag", "Ag"], "fractional_positions": [[0.0000, 0.0000, 0.0000], [0.5000, 0.5000, 0.5000], [0.0000, 0.0000, 0.3035], [0.5000, 0.5000, 0.8035], [0.0000, 0.0000, 0.6468], [0.5000, 0.5000, 0.1468]]}

=====

# 11
{"formula": "Mg2Sc3Ag4", "functional": "PBE-GGA", "state": "relaxed", "formation_energy_ev_per_atom": -0.215, "mass_density_g_cm3": 5.689, "total_energy_ev_per_atom": -3.947, "vol_a3_per_atom": 19.9, "crystal_system": "monoclinic", "dos_at_fermi_per_ev_cell": 7.82, "lattice_angstrom": [[4.1620, -2.4024, 0.0000], [4.1620, 2.4024, 0.0000], [-0.0039, 0.0000, 8.9762]], "species": ["Mg", "Mg", "Sc", "Sc", "Sc", "Ag", "Ag", "Ag", "Ag"], "fractional_positions": [[0.1670, 0.1670, 0.2780], [0.8330, 0.8330, 0.7220], [0.1664, 0.1664, 0.9135], [0.5000, 0.5000, 0.5000], [0.8336, 0.8336, 0.0865], [0.1667, 0.1667, 0.5932], [0.5004, 0.5004, 0.1636], [0.4996, 0.4996, 0.8364], [0.8333, 0.8333, 0.4068]]}

=====

# 12
{"formula": "Mg2ScAg3", "functional": "PBE-GGA", "state": "relaxed", "formation_energy_ev_per_atom": -0.254, "mass_density_g_cm3": 6.025, "total_energy_ev_per_atom": -3.266, "vol_a3_per_atom": 19.2, "crystal_system": "tetragonal", "dos_at_fermi_per_ev_cell": 2.50, "lattice_angstrom": [[3.3466, 0.0000, 0.0000], [0.0000, 3.3466, 0.0000], [0.0000, 0.0000, 10.2653]], "species": ["Mg", "Mg", "Sc", "Ag", "Ag", "Ag"], "fractional_positions": [[0.0000, 0.0000, 0.1637], [0.0000, 0.0000, 0.8363], [0.0000, 0.0000, 0.5000], [0.5000, 0.5000, 0.0000], [0.5000, 0.5000, 0.3261], [0.5000, 0.5000, 0.6739]]}